[1]
Below is a relaxed KSr2InO4 crystal, with properties calculated at the PBE level.

Output
**SG**: Imma (74)
**E_form (uncorrected)**: -1.99 eV/atom
**V**: 16.57 Å³/atom
**E**: -0.1972 hartree per atom

a b c (Å): 7.2000 7.2000 7.1618
angles (deg): 119.81 119.81 89.55
Sites, in units of the cell vectors:
Sr (0.0000, 0.0000, 0.5000)
Sr (0.5000, 0.0000, 0.5000)
Sr (0.5000, 0.5000, 0.0000)
Sr (0.5000, 0.0000, 0.0000)
O (0.2553, 0.2441, 0.9996)
O (0.3050, 0.7282, 0.5166)
O (0.6950, 0.2718, 0.4834)
O (0.2559, 0.2447, 0.5004)
O (0.7718, 0.1950, 0.9834)
O (0.7441, 0.7554, 0.4996)
O (0.7446, 0.7559, 0.0004)
O (0.2282, 0.8050, 0.0166)
In (0.0000, 0.0000, 0.0000)
In (0.5000, 0.5000, 0.5000)
K (0.0000, 0.5000, 0.0000)
K (0.0000, 0.5000, 0.5000)



[2]
Below is a relaxed CuRhSe crystal, with properties calculated at the PBE level.

Output
**SG**: P3m1 (156)
**E_form (uncorrected)**: 0.07 eV/atom
**V**: 16.97 Å³/atom
**E**: -0.1805 hartree per atom

a b c (Å): 3.2873 3.2873 5.4392
angles (deg): 90.00 90.00 120.00
Sites, in units of the cell vectors:
Se (0.3333, 0.6667, 0.6258)
Rh (0.6667, 0.3333, 0.3515)
Cu (0.0000, 0.0000, 0.0227)



[3]
Below is a relaxed ScCo crystal, with properties calculated at the PBE level.

Output
**SG**: P2_13 (198)
**V**: 15.65 Å³/atom
**Formation energy**: -0.153 eV/atom
**E**: -0.2525 hartree per atom

a b c (Å): 5.0025 5.0025 5.0025
angles (deg): 90.00 90.00 90.00
Sites, in units of the cell vectors:
Sc (0.0831, 0.0831, 0.0831)
Sc (0.9169, 0.5831, 0.4169)
Sc (0.4169, 0.9169, 0.5831)
Sc (0.5831, 0.4169, 0.9169)
Co (0.4040, 0.4040, 0.4040)
Co (0.0960, 0.5960, 0.9040)
Co (0.9040, 0.0960, 0.5960)
Co (0.5960, 0.9040, 0.0960)



[4]
Below is a relaxed AlGeAu3 crystal, with properties calculated at the PBE level.

Output
**SG**: Pm-3m (221)
**V**: 22.62 Å³/atom
**Formation energy**: 0.340 eV/atom
**E**: -0.1212 hartree per atom

a b c (Å): 4.8361 4.8361 4.8361
angles (deg): 90.00 90.00 90.00
Sites, in units of the cell vectors:
Au (0.0000, 0.0000, 0.5000)
Au (0.5000, 0.0000, 0.0000)
Au (0.0000, 0.5000, 0.0000)
Al (0.0000, 0.0000, 0.0000)
Ge (0.5000, 0.5000, 0.5000)



[5]
Below is a relaxed ScTl2Os crystal, with properties calculated at the PBE level.

Output
**SG**: Pmmm (47)
**V**: 20.38 Å³/atom
**Formation energy**: 0.472 eV/atom
**E**: -0.1875 hartree per atom

a b c (Å): 3.2502 4.1441 6.0524
angles (deg): 90.00 90.00 90.00
Sites, in units of the cell vectors:
Os (0.5000, 0.5000, 0.2500)
Tl (0.0000, 0.0000, 0.4870)
Tl (0.0000, 0.0000, 0.0130)
Sc (0.5000, 0.5000, 0.7500)



[6]
Below is a relaxed Pa4CoTe3 crystal, with properties calculated at the PBE level.

Output
**SG**: P2/c (13)
**E_form (uncorrected)**: -0.53 eV/atom
**V**: 27.36 Å³/atom
**E**: -0.2699 hartree per atom

a b c (Å): 7.1718 7.5699 8.5425
angles (deg): 90.00 90.00 109.30
Sites, in units of the cell vectors:
Pa (0.0055, 0.2022, 0.1019)
Pa (0.9945, 0.7978, 0.8981)
Pa (0.9675, 0.2188, 0.6551)
Pa (0.4945, 0.7978, 0.1019)
Pa (0.0325, 0.7812, 0.3449)
Pa (0.4675, 0.2188, 0.3449)
Pa (0.5055, 0.2022, 0.8981)
Pa (0.5325, 0.7812, 0.6551)
Te (0.2500, 0.5000, 0.8727)
Te (0.7500, 0.5000, 0.1273)
Te (0.2500, 0.0000, 0.6252)
Te (0.2500, 0.5000, 0.3834)
Te (0.7500, 0.5000, 0.6166)
Te (0.7500, 0.0000, 0.3748)
Co (0.2500, 0.0000, 0.1193)
Co (0.7500, 0.0000, 0.8807)



[7]
Below is a relaxed Rb2DySeO6 crystal, with properties calculated at the PBE level.

Output
**SG**: P-3m1 (164)
**E_form (uncorrected)**: -1.53 eV/atom
**V**: 20.84 Å³/atom
**E**: -0.2024 hartree per atom

a b c (Å): 5.7244 6.4833 6.4833
angles (deg): 120.00 90.00 90.00
Sites, in units of the cell vectors:
O (0.8077, 0.7378, 0.8689)
O (0.1923, 0.2622, 0.1311)
O (0.1923, 0.8689, 0.1311)
O (0.1923, 0.8689, 0.7378)
O (0.8077, 0.1311, 0.2622)
O (0.8077, 0.1311, 0.8689)
Rb (0.8833, 0.6667, 0.3333)
Rb (0.1167, 0.3333, 0.6667)
Dy (0.5000, 0.0000, 0.0000)
Se (0.0000, 0.0000, 0.0000)



[8]
Below is a relaxed CdPd2Pt2 crystal, with properties calculated at the PBE level.

Output
**SG**: P4/mbm (127)
**V**: 17.20 Å³/atom
**Formation energy**: 0.006 eV/atom
**E**: -0.1716 hartree per atom

a b c (Å): 7.7911 7.7911 2.8334
angles (deg): 90.00 90.00 90.00
Sites, in units of the cell vectors:
Pt (0.8298, 0.3298, 0.5000)
Pt (0.6702, 0.8298, 0.5000)
Pt (0.3298, 0.1702, 0.5000)
Pt (0.1702, 0.6702, 0.5000)
Pd (0.3718, 0.8718, 0.0000)
Pd (0.8718, 0.6282, 0.0000)
Pd (0.6282, 0.1282, 0.0000)
Pd (0.1282, 0.3718, 0.0000)
Cd (0.0000, 0.0000, 0.0000)
Cd (0.5000, 0.5000, 0.0000)



[9]
Below is a relaxed KMg3 crystal, with properties calculated at the PBE level.

Output
**SG**: Pmmn (59)
**V**: 34.41 Å³/atom
**Formation energy**: 0.169 eV/atom
**E**: -0.0478 hartree per atom

a b c (Å): 5.2195 7.0033 7.5316
angles (deg): 90.00 90.00 90.00
Sites, in units of the cell vectors:
Mg (0.0000, 0.5000, 0.2061)
Mg (0.5000, 0.7280, 0.1099)
Mg (0.5000, 0.2720, 0.1099)
Mg (0.0000, 0.7720, 0.8901)
Mg (0.0000, 0.2280, 0.8901)
Mg (0.5000, 0.0000, 0.7939)
K (0.0000, 0.0000, 0.4012)
K (0.5000, 0.5000, 0.5988)



[10]
Below is a relaxed NdPaMnS4 crystal, with properties calculated at the PBE level.

Output
**SG**: P2_1/m (11)
**E_form (uncorrected)**: -1.41 eV/atom
**V**: 20.84 Å³/atom
**E**: -0.2614 hartree per atom

a b c (Å): 6.4694 6.0907 7.7274
angles (deg): 90.00 106.65 90.00
Sites, in units of the cell vectors:
Mn (0.7590, 0.2500, 0.6817)
Mn (0.2410, 0.7500, 0.3183)
S (0.4390, 0.7500, 0.6093)
S (0.0189, 0.5114, 0.7425)
S (0.5610, 0.2500, 0.3907)
S (0.9811, 0.0114, 0.2575)
S (0.5640, 0.2500, 0.8818)
S (0.9811, 0.4886, 0.2575)
S (0.4360, 0.7500, 0.1182)
S (0.0189, 0.9886, 0.7425)
Pa (0.7603, 0.7500, 0.4433)
Pa (0.2397, 0.2500, 0.5567)
Nd (0.7552, 0.7500, 0.9400)
Nd (0.2448, 0.2500, 0.0600)



[11]
Below is a relaxed BaZn2CdAg5 crystal, with properties calculated at the PBE level.

Output
**SG**: P4/mmm (123)
**V**: 22.74 Å³/atom
**Formation energy**: 0.020 eV/atom
**E**: -0.0795 hartree per atom

a b c (Å): 5.1204 5.1204 7.8067
angles (deg): 90.00 90.00 90.00
Sites, in units of the cell vectors:
Ba (0.0000, 0.0000, 0.5000)
Ag (0.5000, 0.0000, 0.8090)
Ag (0.0000, 0.5000, 0.1910)
Ag (0.0000, 0.5000, 0.8090)
Ag (0.5000, 0.5000, 0.5000)
Ag (0.5000, 0.0000, 0.1910)
Zn (0.5000, 0.5000, 0.8328)
Zn (0.5000, 0.5000, 0.1672)
Cd (0.0000, 0.0000, 0.0000)



[12]
Below is a relaxed K2LiSb crystal, with properties calculated at the PBE level.

Output
**SG**: Amm2 (38)
**E_form (uncorrected)**: -0.40 eV/atom
**V**: 40.71 Å³/atom
**E**: -0.0903 hartree per atom

a b c (Å): 5.0405 5.7268 6.3275
angles (deg): 63.06 90.00 90.00
Sites, in units of the cell vectors:
Sb (0.5000, 0.5961, 0.6823)
K (0.0000, 0.9785, 0.9179)
K (0.5000, 0.2831, 0.3089)
Li (0.0000, 0.6423, 0.5910)